Computed, not measured: a relaxed structure of PrAl2Cu at the PBE-GGA level of DFT.

The value obtained for the volume is 77 Å³/f.u. The calculation puts the raw total energy at -4.421 eV/atom.

The space group is R-3m (No. 166, hexagonal axes) and the conventional cell measures 5.5666, 5.5666 and 25.7402 Å, with angles of 90.00, 90.00 and 120.00 degrees. The distinct sites, in fractional coordinates, are Pr at (0.0000, 0.0000, 0.0000), Pr at (0.0000, 0.0000, 0.1422), Al at (0.0008, 0.5004, 0.9209), Cu at (0.0000, 0.0000, 0.3346) and Cu at (0.0000, 0.0000, 0.5000).

=====

Computed, not measured: a relaxed structure of DySiPt at the PBE-GGA level of DFT.

The value obtained for the volume is 56 Å³/f.u. The calculation puts the raw total energy at -6.557 eV/atom.

The space group is Pnma (No. 62) and the conventional cell measures 7.014, 4.292 and 7.484 Å, with angles of 90.00, 90.00 and 90.00 degrees. The distinct sites, in fractional coordinates, are Dy at (0.004, 0.250, 0.200), Si at (0.187, 0.250, 0.588) and Pt at (0.198, 0.750, 0.415).

=====

Computed, not measured: a relaxed structure of RbZr2 at the PBE-GGA level of DFT.

The value obtained for the volume is 104 Å³/f.u. The calculation puts the raw total energy at -4.995 eV/atom.

The space group is Amm2 (No. 38) and the conventional cell measures 5.132, 11.856 and 6.854 Å, with angles of 90.00, 90.00 and 90.00 degrees. The distinct sites, in fractional coordinates, are Rb at (0.000, 0.167, 0.000), Zr at (0.000, 0.000, 0.500), Zr at (0.500, 0.000, 0.741) and Zr at (0.500, 0.120, 0.380).